{"formula": "Th2MgZn3Au4", "functional": "GGA-PBE", "state": "optimized geometry", "lattice": [[-3.0604, 2.7443, 1.1452], [-0.1902, -1.8206, 3.8546], [8.0109, 7.3250, 3.8550]], "species": ["Th", "Th", "Zn", "Zn", "Zn", "Mg", "Au", "Au", "Au", "Au"], "fractional_positions": [[0.5000, 0.0000, 0.2338], [0.0000, 0.5000, 0.7662], [0.0000, 0.0000, 0.5000], [0.0000, 0.5000, 0.1312], [0.5000, 0.0000, 0.8688], [0.5000, 0.5000, 0.5000], [0.5000, 0.5000, 0.0000], [0.5000, 0.0000, 0.6474], [0.0000, 0.0000, 0.0000], [0.0000, 0.5000, 0.3526]], "vol_a3_per_cell": 210, "formation_energy_kj_per_mol_fu": -446, "sg": "P-4m2"}

***

{"formula": "ThMgZn5Au2", "functional": "GGA-PBE", "state": "optimized geometry", "lattice": [[4.8825, 0.0000, 0.0000], [0.0000, 4.8825, 0.0000], [0.0000, 0.0000, 7.7716]], "species": ["Zn", "Zn", "Zn", "Zn", "Zn", "Th", "Au", "Au", "Mg"], "fractional_positions": [[0.0000, 0.5000, 0.2538], [0.0000, 0.5000, 0.7462], [0.5000, 0.0000, 0.7462], [0.5000, 0.0000, 0.2538], [0.5000, 0.5000, 0.5000], [0.0000, 0.0000, 0.5000], [0.5000, 0.5000, 0.8292], [0.5000, 0.5000, 0.1708], [0.0000, 0.0000, 0.0000]], "vol_a3_per_cell": 185, "formation_energy_kj_per_mol_fu": -25, "sg": "P4/mmm"}

***

{"formula": "Mg2TiAu", "functional": "GGA-PBE", "state": "optimized geometry", "lattice": [[7.6299, 0.0000, 0.0000], [0.0000, 7.6299, 0.0000], [3.8150, 3.8150, 2.8140]], "species": ["Mg", "Mg", "Mg", "Mg", "Au", "Au", "Ti", "Ti"], "fractional_positions": [[0.0924, 0.6250, 0.2500], [0.3750, 0.3424, 0.7500], [0.6576, 0.1250, 0.2500], [0.8750, 0.9076, 0.7500], [0.7500, 0.2500, 0.5000], [0.0000, 0.0000, 0.0000], [0.2500, 0.7500, 0.5000], [0.5000, 0.5000, 0.0000]], "relative_energy_ev_per_atom": 0.3216, "vol_a3_per_cell": 164, "formation_energy_kj_per_mol_fu": 49, "sg": "I-42d"}

***

{"formula": "MgTi3Au", "functional": "GGA-PBE", "state": "optimized geometry", "lattice": [[4.9304, 0.0000, 0.0000], [0.0000, 4.9304, 0.0000], [0.0000, 0.0000, 4.9304]], "species": ["Mg", "Au", "Ti", "Ti", "Ti"], "fractional_positions": [[0.5000, 0.5000, 0.5000], [0.0000, 0.0000, 0.0000], [0.0000, 0.0000, 0.5000], [0.0000, 0.5000, 0.0000], [0.5000, 0.0000, 0.0000]], "relative_energy_ev_per_atom": 0.0000, "vol_a3_per_cell": 120, "formation_energy_kj_per_mol_fu": 334, "sg": "Pm-3m"}

***

{"formula": "Mg2TiAu2", "functional": "GGA-PBE", "state": "optimized geometry", "lattice": [[7.1755, 0.0000, 0.0000], [0.0000, 7.1755, 0.0000], [0.0000, 0.0000, 3.7254]], "species": ["Au", "Au", "Au", "Au", "Mg", "Mg", "Mg", "Mg", "Ti", "Ti"], "fractional_positions": [[0.8577, 0.6423, 0.0000], [0.6423, 0.1423, 0.0000], [0.3577, 0.8577, 0.0000], [0.1423, 0.3577, 0.0000], [0.6612, 0.8388, 0.5000], [0.8388, 0.3388, 0.5000], [0.3388, 0.1612, 0.5000], [0.1612, 0.6612, 0.5000], [0.0000, 0.0000, 0.0000], [0.5000, 0.5000, 0.0000]], "relative_energy_ev_per_atom": 0.0000, "vol_a3_per_cell": 192, "formation_energy_kj_per_mol_fu": -149, "sg": "P4/mbm"}

***

{"formula": "MgTiAu2", "functional": "GGA-PBE", "state": "optimized geometry", "lattice": [[3.1470, 0.0000, 0.0000], [0.0000, 3.1470, 0.0000], [0.0000, 0.0000, 7.1446]], "species": ["Mg", "Ti", "Au", "Au"], "fractional_positions": [[0.5000, 0.5000, 0.0000], [0.5000, 0.5000, 0.5000], [0.0000, 0.0000, 0.2544], [0.0000, 0.0000, 0.7456]], "vol_a3_per_cell": 71, "formation_energy_kj_per_mol_fu": -182, "sg": "P4/mmm"}

***

{"formula": "Mg2TiAu", "functional": "GGA-PBE", "state": "optimized geometry", "lattice": [[0.0000, 3.3047, 3.3047], [3.3047, 0.0000, 3.3047], [3.3047, 3.3047, 0.0000]], "species": ["Ti", "Mg", "Mg", "Au"], "fractional_positions": [[0.0000, 0.0000, 0.0000], [0.7500, 0.7500, 0.7500], [0.2500, 0.2500, 0.2500], [0.5000, 0.5000, 0.5000]], "relative_energy_ev_per_atom": 0.0912, "vol_a3_per_cell": 72, "formation_energy_kj_per_mol_fu": -40, "sg": "Fm-3m"}

***

{"formula": "MgTi5Au6", "functional": "GGA-PBE", "state": "optimized geometry", "lattice": [[4.1157, -0.0213, 1.3716], [0.0344, 7.3847, 0.0115], [-0.0120, -0.0107, 6.8969]], "species": ["Au", "Au", "Au", "Au", "Au", "Au", "Mg", "Ti", "Ti", "Ti", "Ti", "Ti"], "fractional_positions": [[0.5000, 0.2443, 0.0000], [0.5000, 0.7557, 0.0000], [0.1659, 0.7462, 0.6682], [0.8341, 0.2538, 0.3318], [0.1659, 0.2538, 0.6682], [0.8341, 0.7462, 0.3318], [0.0000, 0.0000, 0.0000], [0.3261, 0.0000, 0.3477], [0.0000, 0.5000, 0.0000], [0.6671, 0.5000, 0.6659], [0.6739, 0.0000, 0.6523], [0.3329, 0.5000, 0.3341]], "vol_a3_per_cell": 210, "formation_energy_kj_per_mol_fu": -431, "sg": "Cmmm"}

***

{"formula": "MgTiAu2", "functional": "GGA-PBE", "state": "optimized geometry", "lattice": [[7.2910, 0.0000, 0.0000], [0.0000, 7.2910, 0.0000], [3.6455, 3.6455, 2.9891]], "species": ["Ti", "Ti", "Au", "Au", "Au", "Au", "Mg", "Mg"], "fractional_positions": [[0.7500, 0.2500, 0.5000], [0.0000, 0.0000, 0.0000], [0.1202, 0.6250, 0.2500], [0.3750, 0.3702, 0.7500], [0.8750, 0.8798, 0.7500], [0.6298, 0.1250, 0.2500], [0.5000, 0.5000, 0.0000], [0.2500, 0.7500, 0.5000]], "vol_a3_per_cell": 159, "formation_energy_kj_per_mol_fu": -13, "sg": "I-42d"}

***

{"formula": "Mg3TiAu4", "functional": "GGA-PBE", "state": "optimized geometry", "lattice": [[3.2760, 0.0000, 0.0000], [0.0000, 3.2760, 0.0000], [0.0000, 0.0000, 13.3226]], "species": ["Au", "Au", "Au", "Au", "Mg", "Mg", "Mg", "Ti"], "fractional_positions": [[0.0000, 0.0000, 0.8782], [0.0000, 0.0000, 0.3762], [0.0000, 0.0000, 0.1218], [0.0000, 0.0000, 0.6238], [0.5000, 0.5000, 0.2502], [0.5000, 0.5000, 0.7498], [0.5000, 0.5000, 0.5000], [0.5000, 0.5000, 0.0000]], "vol_a3_per_cell": 143, "formation_energy_kj_per_mol_fu": -417, "sg": "P4/mmm"}

***

{"formula": "MgTiAu", "functional": "GGA-PBE", "state": "optimized geometry", "lattice": [[-2.5124, -1.7649, 0.0655], [0.3955, -0.6733, -2.9701], [4.3441, -3.4028, 2.9375]], "species": ["Mg", "Ti", "Au"], "fractional_positions": [[0.2926, 0.2926, 0.5852], [0.6047, 0.6047, 0.2093], [0.9527, 0.9527, 0.9055]], "vol_a3_per_cell": 55, "formation_energy_kj_per_mol_fu": -72, "sg": "I4mm"}

***

{"formula": "MgTiAu", "functional": "GGA-PBE", "state": "optimized geometry", "lattice": [[-2.0525, -1.8563, -4.3624], [0.9739, -4.1099, -1.7683], [-5.4538, -3.3096, 0.9153]], "species": ["Au", "Au", "Ti", "Ti", "Mg", "Mg"], "fractional_positions": [[0.3804, 0.0000, 0.2393], [0.6196, 0.0000, 0.7607], [0.7500, 0.5000, 0.5000], [0.2500, 0.5000, 0.5000], [0.1790, 0.6420, 0.0000], [0.8210, 0.3580, 0.0000]], "vol_a3_per_cell": 115, "formation_energy_kj_per_mol_fu": -35, "sg": "Fmmm"}

***

{"formula": "Mg4TiAu5", "functional": "GGA-PBE", "state": "optimized geometry", "lattice": [[3.2841, 0.0000, 0.0000], [0.0000, 3.2841, 0.0000], [0.0000, 0.0000, 16.6054]], "species": ["Au", "Au", "Au", "Au", "Au", "Mg", "Mg", "Mg", "Mg", "Ti"], "fractional_positions": [[0.5000, 0.5000, 0.9025], [0.5000, 0.5000, 0.5000], [0.5000, 0.5000, 0.3013], [0.5000, 0.5000, 0.6987], [0.5000, 0.5000, 0.0975], [0.0000, 0.0000, 0.2000], [0.0000, 0.0000, 0.5994], [0.0000, 0.0000, 0.8000], [0.0000, 0.0000, 0.4006], [0.0000, 0.0000, 0.0000]], "vol_a3_per_cell": 179, "formation_energy_kj_per_mol_fu": -531, "sg": "P4/mmm"}

***

{"formula": "Mg2TiAu2", "functional": "GGA-PBE", "state": "optimized geometry", "lattice": [[7.8047, 0.0000, 0.0000], [0.0000, 7.8047, 0.0000], [0.0000, 0.0000, 3.0161]], "species": ["Ti", "Ti", "Mg", "Mg", "Mg", "Mg", "Au", "Au", "Au", "Au"], "fractional_positions": [[0.0000, 0.0000, 0.0000], [0.5000, 0.5000, 0.0000], [0.6319, 0.1319, 0.0000], [0.8681, 0.6319, 0.0000], [0.3681, 0.8681, 0.0000], [0.1319, 0.3681, 0.0000], [0.6681, 0.8319, 0.5000], [0.1681, 0.6681, 0.5000], [0.3319, 0.1681, 0.5000], [0.8319, 0.3319, 0.5000]], "relative_energy_ev_per_atom": 0.0505, "vol_a3_per_cell": 184, "formation_energy_kj_per_mol_fu": -125, "sg": "P4/mbm"}

***

{"formula": "MgTiAu3", "functional": "GGA-PBE", "state": "optimized geometry", "lattice": [[4.7754, 0.0000, 0.0000], [0.0000, 4.7754, 0.0000], [0.0000, 0.0000, 4.7754]], "species": ["Au", "Au", "Au", "Ti", "Mg"], "fractional_positions": [[0.0000, 0.0000, 0.5000], [0.0000, 0.5000, 0.0000], [0.5000, 0.0000, 0.0000], [0.5000, 0.5000, 0.5000], [0.0000, 0.0000, 0.0000]], "relative_energy_ev_per_atom": 0.1760, "vol_a3_per_cell": 109, "formation_energy_kj_per_mol_fu": 262, "sg": "Pm-3m"}

***

{"formula": "Mg2TiAu", "functional": "GGA-PBE", "state": "optimized geometry", "lattice": [[4.2698, 0.0000, 0.0000], [0.0000, 4.1447, 0.0000], [0.0000, 0.0000, 4.1447]], "species": ["Au", "Ti", "Mg", "Mg"], "fractional_positions": [[0.5000, 0.0000, 0.0000], [0.5000, 0.5000, 0.5000], [0.0000, 0.5000, 0.0000], [0.0000, 0.0000, 0.5000]], "relative_energy_ev_per_atom": 0.0000, "vol_a3_per_cell": 73, "formation_energy_kj_per_mol_fu": -75, "sg": "P4/mmm"}

***

{"formula": "MgTiAu2", "functional": "GGA-PBE", "state": "optimized geometry", "lattice": [[4.9903, -1.3749, -3.4290], [-1.2786, 5.0158, 3.4290], [-3.4512, -0.1941, 5.1577]], "species": ["Au", "Au", "Mg", "Ti"], "fractional_positions": [[0.0000, 0.2605, 0.2605], [0.0000, 0.7395, 0.7395], [0.0000, 0.0000, 0.0000], [0.0000, 0.5000, 0.5000]], "vol_a3_per_cell": 79, "formation_energy_kj_per_mol_fu": 84, "sg": "Immm"}

***

{"formula": "MgTiAu3", "functional": "GGA-PBE", "state": "optimized geometry", "lattice": [[-1.9729, 2.1363, -4.0516], [-2.2689, -4.2880, -1.1562], [-3.9789, 1.3859, 2.6682]], "species": ["Au", "Au", "Au", "Mg", "Ti"], "fractional_positions": [[0.0000, 0.0000, 0.5000], [0.0000, 0.5000, 0.0000], [0.5000, 0.0000, 0.0000], [0.5000, 0.5000, 0.5000], [0.0000, 0.0000, 0.0000]], "relative_energy_ev_per_atom": 0.0000, "vol_a3_per_cell": 124, "formation_energy_kj_per_mol_fu": 178, "sg": "Pm-3m"}

***

{"formula": "MgTi3Au", "functional": "GGA-PBE", "state": "optimized geometry", "lattice": [[-1.5779, -4.4174, 0.2453], [3.2126, -0.9649, 3.2882], [-3.0419, 1.2723, 3.3454]], "species": ["Au", "Ti", "Ti", "Ti", "Mg"], "fractional_positions": [[0.5000, 0.5000, 0.5000], [0.5000, 0.0000, 0.0000], [0.0000, 0.0000, 0.5000], [0.0000, 0.5000, 0.0000], [0.0000, 0.0000, 0.0000]], "relative_energy_ev_per_atom": 0.5215, "vol_a3_per_cell": 104, "formation_energy_kj_per_mol_fu": 585, "sg": "Pm-3m"}

***

{"formula": "Mg8TlAu2", "functional": "GGA-PBE", "state": "optimized geometry", "lattice": [[-0.6923, -1.4686, -4.2767], [0.9865, -6.8879, 2.2056], [-6.9213, 3.6206, 2.3237]], "species": ["Mg", "Mg", "Mg", "Mg", "Mg", "Mg", "Mg", "Mg", "Au", "Au", "Tl"], "fractional_positions": [[0.0000, 0.6979, 0.0000], [0.8419, 0.8419, 0.6838], [0.3363, 0.1162, 0.6727], [0.6637, 0.4435, 0.3273], [0.6637, 0.8838, 0.3273], [0.1581, 0.1581, 0.3162], [0.0000, 0.3021, 0.0000], [0.3363, 0.5565, 0.6727], [0.8158, 0.3158, 0.6316], [0.1842, 0.6842, 0.3684], [0.5000, 0.0000, 0.0000]], "relative_energy_ev_per_atom": 0.0000, "vol_a3_per_cell": 231, "formation_energy_kj_per_mol_fu": -294, "sg": "Immm"}

***

{"formula": "Mg2Tl2Au", "functional": "GGA-PBE", "state": "optimized geometry", "lattice": [[-7.1378, -0.1565, 0.8942], [0.7258, -5.2404, 4.8768], [0.3609, 3.2623, 3.4519]], "species": ["Mg", "Mg", "Mg", "Mg", "Tl", "Tl", "Tl", "Tl", "Au", "Au"], "fractional_positions": [[0.3468, 0.8468, 0.0000], [0.6532, 0.1532, 0.0000], [0.8468, 0.6532, 0.0000], [0.1532, 0.3468, 0.0000], [0.3371, 0.1629, 0.5000], [0.8371, 0.3371, 0.5000], [0.1629, 0.6629, 0.5000], [0.6629, 0.8371, 0.5000], [0.5000, 0.5000, 0.0000], [0.0000, 0.0000, 0.0000]], "relative_energy_ev_per_atom": 0.0000, "vol_a3_per_cell": 247, "formation_energy_kj_per_mol_fu": -52, "sg": "P4/mbm"}

***

{"formula": "Mg4Tl3Au", "functional": "GGA-PBE", "state": "optimized geometry", "lattice": [[-2.5409, 2.3740, -0.6867], [-0.4646, -1.4262, -3.2115], [-9.9979, -9.1120, 5.4928]], "species": ["Au", "Mg", "Mg", "Mg", "Mg", "Tl", "Tl", "Tl"], "fractional_positions": [[0.5000, 0.5000, 0.0000], [0.0000, 0.0000, 0.8993], [0.0000, 0.0000, 0.6349], [0.0000, 0.0000, 0.3651], [0.0000, 0.0000, 0.1007], [0.5000, 0.5000, 0.7625], [0.5000, 0.5000, 0.2375], [0.5000, 0.5000, 0.5000]], "vol_a3_per_cell": 183, "formation_energy_kj_per_mol_fu": -135, "sg": "P4/mmm"}

***

{"formula": "Mg2TlAu", "functional": "GGA-PBE", "state": "optimized geometry", "lattice": [[-1.7023, -1.8851, 2.3230], [2.8441, -0.8438, 1.3995], [2.3939, 5.2195, 5.9898]], "species": ["Tl", "Mg", "Mg", "Au"], "fractional_positions": [[0.5000, 0.2500, 0.2500], [0.0000, 0.4587, 0.5427], [0.0000, 0.0413, 0.9573], [0.5000, 0.7500, 0.7500]], "vol_a3_per_cell": 86, "formation_energy_kj_per_mol_fu": -125, "sg": "P2/m"}

***

{"formula": "MgTlAu2", "functional": "GGA-PBE", "state": "optimized geometry", "lattice": [[-1.8205, 2.5491, 1.2941], [0.2870, -1.3903, 3.1424], [6.2813, 2.2557, 4.3931]], "species": ["Tl", "Au", "Au", "Mg"], "fractional_positions": [[0.5000, 0.7500, 0.7500], [0.0000, 0.5344, 0.4591], [0.0000, 0.9656, 0.0409], [0.5000, 0.2500, 0.2500]], "vol_a3_per_cell": 83, "formation_energy_kj_per_mol_fu": -114, "sg": "P2/m"}

***

{"formula": "Mg2TlAu", "functional": "GGA-PBE", "state": "optimized geometry", "lattice": [[-0.5837, -4.9281, -6.0257], [-5.1267, -4.3036, 4.0163], [-5.2256, -2.8929, -2.1842]], "species": ["Mg", "Mg", "Mg", "Mg", "Au", "Au", "Tl", "Tl"], "fractional_positions": [[0.8750, 0.8367, 0.7500], [0.3750, 0.4133, 0.7500], [0.1633, 0.6250, 0.2500], [0.5867, 0.1250, 0.2500], [0.5000, 0.5000, 0.0000], [0.2500, 0.7500, 0.5000], [0.7500, 0.2500, 0.5000], [0.0000, 0.0000, 0.0000]], "vol_a3_per_cell": 192, "formation_energy_kj_per_mol_fu": -46, "sg": "I-42d"}

***

{"formula": "Mg2TlAu", "functional": "GGA-PBE", "state": "optimized geometry", "lattice": [[-2.4516, 4.4818, -1.6996], [-2.4711, 1.9726, -4.3575], [-4.6508, -0.8255, 0.8134]], "species": ["Tl", "Au", "Mg", "Mg"], "fractional_positions": [[0.5086, 0.5086, 0.5288], [0.2560, 0.2560, 0.1847], [0.7530, 0.7530, 0.7292], [0.9824, 0.9824, 0.0573]], "vol_a3_per_cell": 86, "formation_energy_kj_per_mol_fu": -91, "sg": "Cm"}